# LaAgRu4 (PBE-GGA, optimized geometry)
# **Magnetization**: 2.7 μB/f.u.
# **Energy**: -7.19 eV/atom
data_LaAgRu4
_chemical_formula_sum 'La4 Ag4 Ru16'
_cell_length_a 7.562
_cell_length_b 7.562
_cell_length_c 7.562
_cell_angle_alpha 90.00
_cell_angle_beta 90.00
_cell_angle_gamma 90.00
_symmetry_space_group_name_H-M 'F -4 3 m'
_symmetry_Int_Tables_number 216
_symmetry_space_group_name_Hall 'F -4 2 3'
loop_
_atom_site_label
_atom_site_type_symbol
_atom_site_fract_x
_atom_site_fract_y
_atom_site_fract_z
La1 La 0.000 0.000 0.000
Ag1 Ag 0.250 0.250 0.250
Ru1 Ru 0.124 0.124 0.624


# La2AgRu (PBE-GGA, optimized geometry)
# **Magnetization**: 0.0 μB/f.u.
# **Energy**: -5.75 eV/atom
data_La2AgRu
_chemical_formula_sum 'La2 Ag1 Ru1'
_cell_length_a 3.502
_cell_length_b 3.725
_cell_length_c 7.836
_cell_angle_alpha 90.00
_cell_angle_beta 95.33
_cell_angle_gamma 90.00
_symmetry_space_group_name_H-M 'P 1 2/m 1'
_symmetry_Int_Tables_number 10
loop_
_symmetry_equiv_pos_as_xyz
'x,y,z'
'-x,-y,-z'
'-x,y,-z'
'x,-y,z'
loop_
_atom_site_label
_atom_site_type_symbol
_atom_site_fract_x
_atom_site_fract_y
_atom_site_fract_z
La1 La 0.056 0.000 0.280
Ag1 Ag 0.500 0.500 0.000
Ru1 Ru 0.500 0.500 0.500


# La6AgRu (PBE-GGA, optimized geometry)
# **Magnetization**: 0.0 μB/f.u.
# **Energy**: -5.27 eV/atom
data_La6AgRu
_chemical_formula_sum 'La6 Ag1 Ru1'
_cell_length_a 7.041
_cell_length_b 7.045
_cell_length_c 7.933
_cell_angle_alpha 63.67
_cell_angle_beta 63.71
_cell_angle_gamma 60.03
_symmetry_space_group_name_H-M 'P -1'
_symmetry_Int_Tables_number 2
loop_
_symmetry_equiv_pos_as_xyz
'x,y,z'
'-x,-y,-z'
loop_
_atom_site_label
_atom_site_type_symbol
_atom_site_fract_x
_atom_site_fract_y
_atom_site_fract_z
La1 La 0.056 0.414 0.261
La2 La 0.231 0.945 0.739
La3 La 0.414 0.769 0.261
Ag1 Ag 0.500 0.500 0.000
Ru1 Ru 0.000 0.000 0.500


# LaAgRu (PBE-GGA, optimized geometry)
# **Magnetization**: 0.0 μB/f.u.
# **Excess energy over the best structure of this formula in the dataset**: 0.0 kJ/mol of atoms
# **Energy**: -5.57 eV/atom
data_LaAgRu
_chemical_formula_sum 'La1 Ag1 Ru1'
_cell_length_a 4.5957
_cell_length_b 4.5957
_cell_length_c 3.7697
_cell_angle_alpha 90.00
_cell_angle_beta 90.00
_cell_angle_gamma 120.00
_symmetry_space_group_name_H-M 'P -6 m 2'
_symmetry_Int_Tables_number 187
_symmetry_space_group_name_Hall 'P -6 2'
loop_
_atom_site_label
_atom_site_type_symbol
_atom_site_fract_x
_atom_site_fract_y
_atom_site_fract_z
La1 La 0.0000 0.0000 0.0000
Ag1 Ag 0.3333 0.6667 0.5000
Ru1 Ru 0.6667 0.3333 0.5000


# La2AgRu (PBE-GGA, optimized geometry)
# **Magnetization**: 0.0 μB/f.u.
# **Energy**: -5.51 eV/atom
data_La2AgRu
_chemical_formula_sum 'La4 Ag2 Ru2'
_cell_length_a 4.461
_cell_length_b 4.461
_cell_length_c 9.433
_cell_angle_alpha 90.00
_cell_angle_beta 90.00
_cell_angle_gamma 90.00
_symmetry_space_group_name_H-M 'I -4 m 2'
_symmetry_Int_Tables_number 119
_symmetry_space_group_name_Hall 'I -4 -2'
loop_
_atom_site_label
_atom_site_type_symbol
_atom_site_fract_x
_atom_site_fract_y
_atom_site_fract_z
La1 La 0.000 0.000 0.000
La2 La 0.000 0.500 0.250
Ag1 Ag 0.000 0.000 0.500
Ru1 Ru 0.000 0.500 0.750


# La4Ag5Ru2 (PBE-GGA, optimized geometry)
# **Magnetization**: 0.0 μB/f.u.
# **Energy**: -5.00 eV/atom
data_La4Ag5Ru2
_chemical_formula_sum 'La4 Ag5 Ru2'
_cell_length_a 7.562
_cell_length_b 4.055
_cell_length_c 8.980
_cell_angle_alpha 90.00
_cell_angle_beta 96.05
_cell_angle_gamma 90.00
_symmetry_space_group_name_H-M 'P 1 2/m 1'
_symmetry_Int_Tables_number 10
loop_
_symmetry_equiv_pos_as_xyz
'x,y,z'
'-x,-y,-z'
'-x,y,-z'
'x,-y,z'
loop_
_atom_site_label
_atom_site_type_symbol
_atom_site_fract_x
_atom_site_fract_y
_atom_site_fract_z
La1 La 0.200 0.000 0.339
La2 La 0.228 0.000 0.912
Ag1 Ag 0.167 0.500 0.622
Ag2 Ag 0.452 0.500 0.165
Ag3 Ag 0.500 0.500 0.500
Ru1 Ru 0.051 0.500 0.144